No. 1
TbSe2S | PBE-GGA | relaxed

Output
The space group is No. 11. The value obtained for the total magnetization is 0.0001 μB/atom.

a = 5.4630 Å, b = 3.9480 Å, c = 9.6083 Å
α = 90.00°, β = 98.60°, γ = 90.00°
Element x y z (fractional)
1 Tb 0.2222 0.2500 0.3679
2 Tb 0.7778 0.7500 0.6321
3 Se 0.0630 0.2500 0.8248
4 Se 0.3333 0.7500 0.1161
5 Se 0.6667 0.2500 0.8839
6 Se 0.9370 0.7500 0.1752
7 S 0.2671 0.7500 0.5627
8 S 0.7329 0.2500 0.4373

No. 2
CsDyNiS3 | PBE-GGA | relaxed

Output
The space group is No. 62. The value obtained for the total magnetization is 0.0335 μB/atom.

a = 11.6943 Å, b = 4.1458 Å, c = 12.1645 Å
α = 90.00°, β = 90.00°, γ = 90.00°
Element x y z (fractional)
1 Cs 0.1526 0.2500 0.0168
2 Cs 0.3474 0.7500 0.5168
3 Cs 0.6526 0.2500 0.4832
4 Cs 0.8474 0.7500 0.9832
5 Dy 0.0035 0.7500 0.3513
6 Dy 0.4965 0.2500 0.8513
7 Dy 0.5035 0.7500 0.1487
8 Dy 0.9965 0.2500 0.6487
9 Ni 0.2361 0.2500 0.3040
10 Ni 0.2639 0.7500 0.8040
11 Ni 0.7361 0.2500 0.1960
12 Ni 0.7639 0.7500 0.6960
13 S 0.0752 0.7500 0.7778
14 S 0.1193 0.2500 0.4556
15 S 0.2083 0.7500 0.2445
16 S 0.2917 0.2500 0.7445
17 S 0.3807 0.7500 0.9556
18 S 0.4248 0.2500 0.2778
19 S 0.5752 0.7500 0.7222
20 S 0.6193 0.2500 0.0444
21 S 0.7083 0.7500 0.2555
22 S 0.7917 0.2500 0.7555
23 S 0.8807 0.7500 0.5444
24 S 0.9248 0.2500 0.2222

No. 3
ZrUIr | PBE-GGA | relaxed

Output
The space group is No. 216. The formation energy is 0.342 eV per atom. The value obtained for the total magnetization is 0.3941 μB/atom. As for the offset from the most stable computed form: 1.254 eV per formula unit.

a = 4.5453 Å, b = 4.5453 Å, c = 4.5453 Å
α = 60.00°, β = 60.00°, γ = 60.00°
Element x y z (fractional)
1 Zr 0.0000 0.0000 0.0000
2 U 0.7500 0.7500 0.7500
3 Ir 0.5000 0.5000 0.5000

No. 4
NaTlMoOs | PBE-GGA | relaxed

Output
The space group is No. 216. The value obtained for the total magnetization is 0.0004 μB/atom. As for the offset from the most stable computed form: 0.000 eV per formula unit.

a = 4.5945 Å, b = 4.5945 Å, c = 4.5945 Å
α = 60.00°, β = 60.00°, γ = 60.00°
Element x y z (fractional)
1 Na 0.0000 0.0000 0.0000
2 Tl 0.2500 0.2500 0.2500
3 Mo 0.7500 0.7500 0.7500
4 Os 0.5000 0.5000 0.5000

It is found that the final energy values, taken in the order of the records, are -5.073, -5.135, -9.225, -5.749 eV per atom.